1.
The following is a DFT calculation (GGA-PBE) of a relaxed PmBe2Co2B crystal.

Properties
* DOS at the Fermi energy: 3.09 states/eV per cell
* calculated total energy: -5.779 eV per atom
* formation enthalpy at 0 K: -0.264 eV per atom

a b c (Å): 3.787 3.787 5.352
angles (deg): 90.00 90.00 90.00
Fractional positions:
Pm: 0.000 0.000 0.500
Be: 0.500 0.500 0.765
Be: 0.500 0.500 0.235
Co: 0.500 0.000 0.000
Co: 0.000 0.500 0.000
B: 0.000 0.000 0.000

2.
The following is a DFT calculation (GGA-PBE) of a relaxed Dy3InAg crystal.

Properties
* DOS at the Fermi energy: 11.59 states/eV per cell
* calculated total energy: -4.167 eV per atom
* formation enthalpy at 0 K: -0.288 eV per atom

a b c (Å): 5.117 5.118 10.650
angles (deg): 90.00 76.10 90.00
Fractional positions:
Dy: 0.763 0.250 0.122
Dy: 0.387 0.250 0.875
Dy: 0.575 0.250 0.499
Dy: 0.262 0.750 0.125
Dy: 0.885 0.750 0.878
Dy: 0.074 0.750 0.501
In: 0.668 0.750 0.312
In: 0.980 0.250 0.688
Ag: 0.483 0.750 0.683
Ag: 0.166 0.250 0.317

3.
The following is a DFT calculation (GGA-PBE) of a relaxed TbSm2Ho5Th crystal.

Properties
* DOS at the Fermi energy: 25.92 states/eV per cell
* calculated total energy: -4.767 eV per atom
* formation enthalpy at 0 K: 0.163 eV per atom

a b c (Å): 5.699 11.106 9.758
angles (deg): 90.00 90.00 104.84
Fractional positions:
Tb: 0.809 0.617 0.517
Tb: 0.191 0.383 0.017
Sm: 0.885 0.771 0.828
Sm: 0.130 0.260 0.711
Sm: 0.115 0.230 0.328
Sm: 0.870 0.740 0.211
Ho: 0.397 0.795 0.041
Ho: 0.729 0.459 0.827
Ho: 0.470 0.940 0.741
Ho: 0.306 0.611 0.717
Ho: 0.985 0.971 0.517
Ho: 0.603 0.205 0.541
Ho: 0.271 0.541 0.327
Ho: 0.530 0.060 0.241
Ho: 0.694 0.389 0.217
Ho: 0.015 0.029 0.017
Th: 0.595 0.190 0.925
Th: 0.405 0.810 0.425

4.
The following is a DFT calculation (GGA-PBE) of a relaxed Dy2Ho5Ru5 crystal.

Properties
* DOS at the Fermi energy: 8.46 states/eV per cell
* calculated total energy: -6.780 eV per atom
* formation enthalpy at 0 K: -0.240 eV per atom

a b c (Å): 4.818 4.818 13.450
angles (deg): 79.75 79.75 59.97
Fractional positions:
Dy: 0.072 0.072 0.784
Dy: 0.928 0.928 0.216
Ho: 0.500 0.500 0.500
Ho: 0.310 0.310 0.071
Ho: 0.215 0.215 0.354
Ho: 0.785 0.785 0.646
Ho: 0.690 0.690 0.929
Ru: 0.855 0.855 0.435
Ru: 0.384 0.384 0.847
Ru: 0.616 0.616 0.153
Ru: 0.145 0.145 0.565
Ru: 0.000 0.000 0.000

5.
The following is a DFT calculation (GGA-PBE) of a relaxed CaCrTc4 crystal.

Properties
* DOS at the Fermi energy: 8.02 states/eV per cell
* calculated total energy: -8.436 eV per atom
* formation enthalpy at 0 K: 0.412 eV per atom

a b c (Å): 5.245 5.245 5.245
angles (deg): 60.00 60.00 60.00
Fractional positions:
Ca: 0.750 0.750 0.750
Cr: 0.000 0.000 0.000
Tc: 0.876 0.375 0.375
Tc: 0.375 0.375 0.876
Tc: 0.375 0.876 0.375
Tc: 0.375 0.375 0.375

6.
The following is a DFT calculation (GGA-PBE) of a relaxed BaBrO crystal.

Properties
* DOS at the Fermi energy: 1.10 states/eV per cell
* calculated total energy: -4.600 eV per atom
* uncorrected formation energy: -1748 meV per atom

a b c (Å): 3.879 3.895 5.160
angles (deg): 79.35 89.65 89.92
Fractional positions:
Ba: 0.000 0.000 0.000
Br: 0.500 0.500 0.500
O: 0.500 0.500 0.000

7.
The following is a DFT calculation (GGA-PBE) of a relaxed K3Ac3GaSe8 crystal.

Properties
* DOS at the Fermi energy: 25.69 states/eV per cell
* calculated total energy: -4.487 eV per atom
* uncorrected formation energy: -1386 meV per atom

a b c (Å): 8.874 8.877 9.383
angles (deg): 118.26 90.00 119.98
Fractional positions:
K: 0.000 0.000 0.000
K: 0.000 0.500 0.000
K: 0.500 0.500 0.000
Ac: 0.500 0.000 0.500
Ac: 0.500 0.500 0.500
Ac: 0.000 0.500 0.500
Ga: 0.000 0.000 0.500
Se: 0.260 0.520 0.279
Se: 0.740 0.480 0.721
Se: 0.789 0.579 0.304
Se: 0.211 0.421 0.696
Se: 0.788 0.016 0.303
Se: 0.212 0.984 0.697
Se: 0.228 0.016 0.303
Se: 0.772 0.984 0.697

8.
The following is a DFT calculation (GGA-PBE) of a relaxed ErVSi2Os crystal.

Properties
* DOS at the Fermi energy: 3.50 states/eV per cell
* calculated total energy: -7.807 eV per atom
* uncorrected formation energy: -656 meV per atom

a b c (Å): 3.969 3.969 5.949
angles (deg): 109.48 109.48 90.00
Fractional positions:
Er: 0.000 0.000 0.000
V: 0.750 0.250 0.500
Si: 0.615 0.615 0.229
Si: 0.385 0.385 0.771
Os: 0.250 0.750 0.500

Number 1: ρ 6.3 g/cm3. Number 2: ρ 8.7 g/cm3. Number 3: ρ 8.4 g/cm3. Number 4: ρ 10.4 g/cm3. Number 5: ρ 7.9 g/cm3. Number 6: ρ 5.1 g/cm3. Number 7: ρ 4.6 g/cm3. Number 8: ρ 9.3 g/cm3.